A relaxed TaPtI crystal. Source: the Alexandria database, functional GGA-PBE.

Summary:
For the distance to the lowest polymorph of the same formula, the calculation gives 1 meV/atom. Its formation energy (no corrections) is -288.5 meV/atom. Its space-group type is Pc.

The structure in CIF format:
```
data_TaPtI
_chemical_formula_sum 'Ta2 Pt2 I2'
_cell_length_a 3.461
_cell_length_b 12.074
_cell_length_c 3.634
_cell_angle_alpha 90.00
_cell_angle_beta 94.46
_cell_angle_gamma 90.00
_space_group_name_H-M_alt 'P 1'
_space_group_IT_number 1
_space_group_name_Hall 'P 1'
loop_
_atom_site_label
_atom_site_type_symbol
_atom_site_fract_x
_atom_site_fract_y
_atom_site_fract_z
Ta1 Ta 0.162 0.661 0.458
Ta2 Ta 0.662 0.339 0.958
Pt1 Pt 0.094 0.433 0.510
Pt2 Pt 0.594 0.567 0.010
I1 I 0.661 0.847 0.490
I2 I 0.161 0.153 0.990
```